# CrMoF5

CrMoF5 after structural relaxation (PBE with a Hubbard U, the Alexandria database).

Results
Uncorrected energy (eV per formula unit): -41.5

abc: 5.362 10.061 8.533
angles: 90.00 107.48 90.00
Sites, in units of the cell vectors:
Cr1 0.102 0.229 0.375
Cr2 0.102 0.271 0.875
Cr3 0.898 0.729 0.125
Cr4 0.898 0.771 0.625
Mo1 0.482 0.015 0.797
Mo2 0.482 0.485 0.297
Mo3 0.518 0.515 0.703
Mo4 0.518 0.985 0.203
F1 0.149 0.600 0.263
F2 0.149 0.900 0.763
F3 0.187 0.637 0.642
F4 0.187 0.863 0.142
F5 0.245 0.157 0.648
F6 0.245 0.343 0.148
F7 0.357 0.115 0.988
F8 0.357 0.385 0.488
F9 0.399 0.103 0.367
F10 0.399 0.397 0.867
F11 0.601 0.603 0.133
F12 0.601 0.897 0.633
F13 0.643 0.615 0.512
F14 0.643 0.885 0.012
F15 0.755 0.657 0.852
F16 0.755 0.843 0.352
F17 0.813 0.137 0.858
F18 0.813 0.363 0.358
F19 0.851 0.100 0.237
F20 0.851 0.400 0.737